Entry 1:
# KGe2 PBE optimized geometry
data_KGe2
_chemical_formula_sum 'K2 Ge4'
_cell_length_a 5.932
_cell_length_b 5.932
_cell_length_c 5.932
_cell_angle_alpha 60.00
_cell_angle_beta 60.00
_cell_angle_gamma 60.00
_space_group_name_H-M_alt 'P 1'
_space_group_IT_number 1
loop_
_space_group_symop_operation_xyz
'x,y,z'
loop_
_atom_site_label
_atom_site_fract_x
_atom_site_fract_y
_atom_site_fract_z
K1 0.125 0.125 0.125
K2 0.875 0.875 0.875
Ge1 0.000 0.500 0.500
Ge2 0.500 0.000 0.500
Ge3 0.500 0.500 0.000
Ge4 0.500 0.500 0.500
# * M_tot: 0.0205 μB per atom
# * energy of formation: 0.097 eV per atom
# * space group: Fd-3m (227)

Entry 2:
# CeIn3Sn3 PBE optimized geometry
data_CeIn3Sn3
_chemical_formula_sum 'Ce2 In6 Sn6'
_cell_length_a 6.558
_cell_length_b 6.558
_cell_length_c 9.207
_cell_angle_alpha 90.05
_cell_angle_beta 90.05
_cell_angle_gamma 88.64
_space_group_name_H-M_alt 'P 1'
_space_group_IT_number 1
loop_
_space_group_symop_operation_xyz
'x,y,z'
loop_
_atom_site_label
_atom_site_fract_x
_atom_site_fract_y
_atom_site_fract_z
Ce1 0.249 0.249 0.000
Ce2 0.751 0.751 0.000
In1 0.246 0.754 0.500
In2 0.253 0.747 0.000
In3 0.500 0.500 0.269
In4 0.500 0.500 0.731
In5 0.747 0.253 0.000
In6 0.754 0.246 0.500
Sn1 0.000 0.000 0.261
Sn2 0.000 0.000 0.739
Sn3 0.000 0.500 0.266
Sn4 0.000 0.500 0.734
Sn5 0.500 0.000 0.266
Sn6 0.500 0.000 0.734
# * M_tot: 0.1290 μB per atom
# * energy of formation: -0.186 eV per atom
# * space group: C2/m (12)

Entry 3:
# Ti8Sn2Au PBE optimized geometry
data_Ti8Sn2Au
_chemical_formula_sum 'Ti8 Sn2 Au1'
_cell_length_a 8.145
_cell_length_b 8.145
_cell_length_c 5.296
_cell_angle_alpha 93.94
_cell_angle_beta 93.94
_cell_angle_gamma 33.99
_space_group_name_H-M_alt 'P 1'
_space_group_IT_number 1
loop_
_space_group_symop_operation_xyz
'x,y,z'
loop_
_atom_site_label
_atom_site_fract_x
_atom_site_fract_y
_atom_site_fract_z
Ti1 0.047 0.047 0.280
Ti2 0.238 0.238 0.352
Ti3 0.329 0.329 0.878
Ti4 0.417 0.417 0.445
Ti5 0.583 0.583 0.555
Ti6 0.671 0.671 0.122
Ti7 0.762 0.762 0.648
Ti8 0.953 0.953 0.720
Sn1 0.147 0.147 0.809
Sn2 0.853 0.853 0.191
Au1 0.500 0.500 0.000
# * M_tot: 0.0001 μB per atom
# * energy of formation: -0.251 eV per atom
# * space group: C2/m (12)

Entry 4:
# Na2MnPS4 PBE optimized geometry
data_Na2MnPS4
_chemical_formula_sum 'Na4 Mn2 P2 S8'
_cell_length_a 12.670
_cell_length_b 11.530
_cell_length_c 6.794
_cell_angle_alpha 83.20
_cell_angle_beta 64.63
_cell_angle_gamma 32.17
_space_group_name_H-M_alt 'P 1'
_space_group_IT_number 1
loop_
_space_group_symop_operation_xyz
'x,y,z'
loop_
_atom_site_label
_atom_site_fract_x
_atom_site_fract_y
_atom_site_fract_z
Na1 0.070 0.070 0.680
Na2 0.320 0.320 0.930
Na3 0.680 0.680 0.070
Na4 0.930 0.930 0.320
Mn1 0.125 0.125 0.125
Mn2 0.875 0.875 0.875
P1 0.375 0.375 0.375
P2 0.625 0.625 0.625
S1 0.004 0.647 0.545
S2 0.304 0.545 0.647
S3 0.353 0.996 0.696
S4 0.455 0.696 0.996
S5 0.545 0.304 0.004
S6 0.647 0.004 0.304
S7 0.696 0.455 0.353
S8 0.996 0.353 0.455
# * M_tot: 0.4998 μB per atom
# * space group: Fddd (70)

Entry 5:
# Pr2Tl5Br12 PBE optimized geometry
data_Pr2Tl5Br12
_chemical_formula_sum 'Pr2 Tl5 Br12'
_cell_length_a 10.000
_cell_length_b 10.000
_cell_length_c 10.419
_cell_angle_alpha 107.74
_cell_angle_beta 107.74
_cell_angle_gamma 51.77
_space_group_name_H-M_alt 'P 1'
_space_group_IT_number 1
loop_
_space_group_symop_operation_xyz
'x,y,z'
loop_
_atom_site_label
_atom_site_fract_x
_atom_site_fract_y
_atom_site_fract_z
Pr1 0.247 0.753 0.000
Pr2 0.753 0.247 0.000
Tl1 0.186 0.186 0.810
Tl2 0.222 0.222 0.377
Tl3 0.500 0.500 0.500
Tl4 0.778 0.778 0.623
Tl5 0.814 0.814 0.190
Br1 0.006 0.006 0.199
Br2 0.061 0.601 0.910
Br3 0.133 0.608 0.442
Br4 0.392 0.867 0.558
Br5 0.399 0.939 0.090
Br6 0.498 0.498 0.811
Br7 0.502 0.502 0.189
Br8 0.601 0.061 0.910
Br9 0.608 0.133 0.442
Br10 0.867 0.392 0.558
Br11 0.939 0.399 0.090
Br12 0.994 0.994 0.801
# * M_tot: 0.0000 μB per atom
# * space group: C2/m (12)

Entry 6:
# YOs2PtCl PBE optimized geometry
data_YOs2PtCl
_chemical_formula_sum 'Y1 Os2 Pt1 Cl1'
_cell_length_a 5.191
_cell_length_b 5.191
_cell_length_c 5.132
_cell_angle_alpha 90.00
_cell_angle_beta 90.00
_cell_angle_gamma 90.00
_space_group_name_H-M_alt 'P 1'
_space_group_IT_number 1
loop_
_space_group_symop_operation_xyz
'x,y,z'
loop_
_atom_site_label
_atom_site_fract_x
_atom_site_fract_y
_atom_site_fract_z
Y1 0.000 0.000 0.000
Os1 0.000 0.500 0.000
Os2 0.500 0.000 0.000
Pt1 0.000 0.000 0.500
Cl1 0.500 0.500 0.500
# * M_tot: 0.9367 μB per atom
# * space group: P4/mmm (123)

Entry 7:
# Pr4Sm3Sc PBE optimized geometry
data_Pr4Sm3Sc
_chemical_formula_sum 'Pr8 Sm6 Sc2'
_cell_length_a 11.714
_cell_length_b 7.342
_cell_length_c 6.326
_cell_angle_alpha 90.00
_cell_angle_beta 90.00
_cell_angle_gamma 90.00
_space_group_name_H-M_alt 'P 1'
_space_group_IT_number 1
loop_
_space_group_symop_operation_xyz
'x,y,z'
loop_
_atom_site_label
_atom_site_fract_x
_atom_site_fract_y
_atom_site_fract_z
Pr1 0.000 0.130 0.000
Pr2 0.000 0.869 0.520
Pr3 0.242 0.131 0.351
Pr4 0.258 0.869 0.851
Pr5 0.500 0.131 0.020
Pr6 0.500 0.870 0.500
Pr7 0.742 0.869 0.851
Pr8 0.758 0.131 0.351
Sm1 0.000 0.622 0.014
Sm2 0.249 0.619 0.342
Sm3 0.251 0.381 0.842
Sm4 0.500 0.378 0.514
Sm5 0.749 0.381 0.842
Sm6 0.751 0.619 0.342
Sc1 0.000 0.382 0.509
Sc2 0.500 0.618 0.009
# * M_tot: 0.0000 μB per atom
# * energy of formation: 0.048 eV per atom
# * space group: Pmn2_1 (31)

Entry 8:
# Ac2Pr3Os2 PBE optimized geometry
data_Ac2Pr3Os2
_chemical_formula_sum 'Ac2 Pr3 Os2'
_cell_length_a 6.723
_cell_length_b 6.723
_cell_length_c 9.271
_cell_angle_alpha 114.30
_cell_angle_beta 114.30
_cell_angle_gamma 35.66
_space_group_name_H-M_alt 'P 1'
_space_group_IT_number 1
loop_
_space_group_symop_operation_xyz
'x,y,z'
loop_
_atom_site_label
_atom_site_fract_x
_atom_site_fract_y
_atom_site_fract_z
Ac1 0.167 0.167 0.298
Ac2 0.833 0.833 0.702
Pr1 0.376 0.376 0.080
Pr2 0.500 0.500 0.500
Pr3 0.624 0.624 0.920
Os1 0.177 0.177 0.735
Os2 0.823 0.823 0.265
# * M_tot: 0.0000 μB per atom
# * energy of formation: -0.040 eV per atom
# * space group: C2/m (12)

What did we get for VASP energy? Answer: -3.347, -3.922, -7.018, -4.730, -3.391, -4.950, -4.903, -6.470 eV/atom, in the order shown.
What did we get for volume? Answer: 24.60, 28.28, 17.81, 25.72, 40.53, 27.66, 34.01, 31.47 Å³/atom, in the order shown.